A relaxed Hf2SbPd6 crystal, computed with PBE-GGA. Values from VASP.

Calculated values
Its formation energy without anion corrections is -476 meV/atom. The value obtained for the total energy is -59.47 eV per formula unit. The space group is Immm (71).

Geometry as Quantum ESPRESSO input:
```
&SYSTEM
  ibrav = 0, nat = 9, ntyp = 3
/
ATOMIC_SPECIES
Hf 178.49 Hf.upf
Sb 121.76 Sb.upf
Pd 106.42 Pd.upf
ATOMIC_POSITIONS crystal
Hf 0.167 0.167 0.000
Hf 0.833 0.833 0.000
Sb 0.500 0.500 0.000
Pd 0.125 0.333 0.792
Pd 0.197 0.000 0.197
Pd 0.459 0.667 0.792
Pd 0.541 0.333 0.208
Pd 0.803 0.000 0.803
Pd 0.875 0.667 0.208
CELL_PARAMETERS angstrom
-1.643 3.709 6.878
1.643 -3.709 6.878
1.643 3.709 -6.878
```